1.
## PmPrNd2Se4 (PBE-GGA)

Data for a relaxed PmPrNd2Se4 crystal.

Calculated values
SG   P2/m

Cell lengths 7.3432, 4.1841, 7.3728 Å; angles 90.00, 108.93, 90.00 degrees
Fractional positions:
Pm1 0.0000 0.0000 0.0000
Pr1 0.0000 0.5000 0.5000
Nd1 0.5000 0.0000 0.5000
Nd2 0.5000 0.5000 0.0000
Se1 0.2490 0.5000 0.2469
Se2 0.2511 0.0000 0.7531
Se3 0.7489 0.0000 0.2469
Se4 0.7510 0.5000 0.7531

***

2.
## BaTiZnO2 (PBE-GGA)

Data for a relaxed BaTiZnO2 crystal.

Calculated values
SG   P4/mmm

Cell lengths 4.3318, 4.3318, 4.6853 Å; angles 90.00, 90.00, 90.00 degrees
Fractional positions:
Ba1 0.0000 0.0000 0.0000
Ti1 0.5000 0.5000 0.0000
Zn1 0.5000 0.5000 0.5000
O1 0.0000 0.5000 0.5000
O2 0.5000 0.0000 0.5000

***

Number 1: final energy -5.96 eV/atom, uncorrected formation energy -14.69 eV per formula unit. Number 2: final energy -4.22 eV/atom, uncorrected formation energy -0.10 eV per formula unit.